(1)
NaSr2Er after structural relaxation, computed with GGA-PBE.

Computed properties:
The calculation puts the energy above the most stable polymorph in this dataset at 0.78 eV/f.u. The value obtained for the magnetic moment is 0.54 μB/cell. The density is 3.55 Mg/m³. As for the energy of formation from the pure elements: 1.39 eV per formula unit.

a = 13.9558 Å, b = 13.9558 Å, c = 13.9558 Å
α = 15.59°, β = 15.59°, γ = 15.59°
Sites, in units of the cell vectors:
Na (0.0000, 0.0000, 0.0000)
Sr (0.4148, 0.4148, 0.4148)
Sr (0.5852, 0.5852, 0.5852)
Er (0.5000, 0.5000, 0.5000)

---

(2)
NaSr3Er3Te8 after structural relaxation, computed with GGA-PBE.

Computed properties:
The value obtained for the magnetic moment is 0.00 μB/cell. The density is 5.73 Mg/m³. The formation energy without anion corrections comes out at -1.420 eV/atom.

a = 9.1322 Å, b = 9.1322 Å, c = 9.1322 Å
α = 58.82°, β = 58.82°, γ = 58.82°
Sites, in units of the cell vectors:
Na (0.0000, 0.0000, 0.0000)
Sr (0.0000, 0.0000, 0.5000)
Sr (0.0000, 0.5000, 0.0000)
Sr (0.5000, 0.0000, 0.0000)
Er (0.0000, 0.5000, 0.5000)
Er (0.5000, 0.0000, 0.5000)
Er (0.5000, 0.5000, 0.0000)
Te (0.2520, 0.2520, 0.7272)
Te (0.2520, 0.7272, 0.2520)
Te (0.2573, 0.2573, 0.2573)
Te (0.2728, 0.7480, 0.7480)
Te (0.7272, 0.2520, 0.2520)
Te (0.7427, 0.7427, 0.7427)
Te (0.7480, 0.2728, 0.7480)
Te (0.7480, 0.7480, 0.2728)

---

(3)
NaSr3Er2Te6 after structural relaxation, computed with GGA-PBE.

Computed properties:
The value obtained for the magnetic moment is 0.00 μB/cell. The density is 5.71 Mg/m³. The formation energy without anion corrections comes out at -1.484 eV/atom.

a = 7.8931 Å, b = 7.8931 Å, c = 7.9156 Å
α = 99.56°, β = 99.56°, γ = 119.97°
Sites, in units of the cell vectors:
Na (0.0000, 0.0000, 0.0000)
Sr (0.1626, 0.8374, 0.5000)
Sr (0.5000, 0.5000, 0.5000)
Sr (0.8374, 0.1626, 0.5000)
Er (0.3322, 0.6678, 0.0000)
Er (0.6678, 0.3322, 0.0000)
Te (0.0773, 0.4207, 0.2306)
Te (0.2675, 0.2675, 0.7734)
Te (0.4207, 0.0773, 0.2306)
Te (0.5793, 0.9227, 0.7694)
Te (0.7325, 0.7325, 0.2266)
Te (0.9227, 0.5793, 0.7694)

---

(4)
NaTbEr2 after structural relaxation, computed with GGA-PBE.

Computed properties:
The calculation puts the energy above the most stable polymorph in this dataset at 0.00 eV/f.u. The value obtained for the magnetic moment is 0.00 μB/cell. The density is 6.61 Mg/m³. As for the energy of formation from the pure elements: 0.57 eV per formula unit.

a = 3.5318 Å, b = 3.5318 Å, c = 10.4045 Å
α = 90.00°, β = 90.00°, γ = 90.00°
Sites, in units of the cell vectors:
Na (0.0000, 0.0000, 0.0000)
Tb (0.0000, 0.0000, 0.5000)
Er (0.5000, 0.5000, 0.2704)
Er (0.5000, 0.5000, 0.7296)

---

(5)
NaTbEr2 after structural relaxation, computed with GGA-PBE.

Computed properties:
The calculation puts the energy above the most stable polymorph in this dataset at 0.13 eV/f.u. The value obtained for the magnetic moment is 0.00 μB/cell. The density is 6.49 Mg/m³. As for the energy of formation from the pure elements: 0.70 eV per formula unit.

a = 12.7713 Å, b = 12.7713 Å, c = 12.7713 Å
α = 15.66°, β = 15.66°, γ = 15.66°
Sites, in units of the cell vectors:
Na (0.0000, 0.0000, 0.0000)
Tb (0.5000, 0.5000, 0.5000)
Er (0.0921, 0.0921, 0.0921)
Er (0.9079, 0.9079, 0.9079)

---

(6)
Na4TbEr3Te8 after structural relaxation, computed with GGA-PBE.

Computed properties:
The value obtained for the magnetic moment is 0.00 μB/cell. The density is 5.78 Mg/m³. The formation energy without anion corrections comes out at -1.308 eV/atom.

a = 9.1184 Å, b = 9.1184 Å, c = 9.1184 Å
α = 57.85°, β = 57.85°, γ = 57.85°
Sites, in units of the cell vectors:
Na (0.0000, 0.0000, 0.0000)
Na (0.0000, 0.5000, 0.5000)
Na (0.5000, 0.0000, 0.5000)
Na (0.5000, 0.5000, 0.0000)
Tb (0.5000, 0.5000, 0.5000)
Er (0.0000, 0.0000, 0.5000)
Er (0.0000, 0.5000, 0.0000)
Er (0.5000, 0.0000, 0.0000)
Te (0.2412, 0.7449, 0.7449)
Te (0.2432, 0.2432, 0.2432)
Te (0.2551, 0.2551, 0.7588)
Te (0.2551, 0.7588, 0.2551)
Te (0.7449, 0.2412, 0.7449)
Te (0.7449, 0.7449, 0.2412)
Te (0.7568, 0.7568, 0.7568)
Te (0.7588, 0.2551, 0.2551)

---

(7)
Na2TbEr3Te6 after structural relaxation, computed with GGA-PBE.

Computed properties:
The value obtained for the magnetic moment is 0.00 μB/cell. The density is 6.79 Mg/m³. The formation energy without anion corrections comes out at -1.286 eV/atom.

a = 7.5630 Å, b = 7.5630 Å, c = 7.6842 Å
α = 99.43°, β = 99.43°, γ = 119.95°
Sites, in units of the cell vectors:
Na (0.1659, 0.8341, 0.0000)
Na (0.8341, 0.1659, 0.0000)
Tb (0.5000, 0.5000, 0.0000)
Er (0.0000, 0.0000, 0.5000)
Er (0.3316, 0.6684, 0.5000)
Er (0.6684, 0.3316, 0.5000)
Te (0.0840, 0.4148, 0.7442)
Te (0.2562, 0.2562, 0.2589)
Te (0.4148, 0.0840, 0.7442)
Te (0.5852, 0.9160, 0.2558)
Te (0.7438, 0.7438, 0.7411)
Te (0.9160, 0.5852, 0.2558)

---

(8)
Na2Tb3ErTe6 after structural relaxation, computed with GGA-PBE.

Computed properties:
The value obtained for the magnetic moment is 0.00 μB/cell. The density is 6.64 Mg/m³. The formation energy without anion corrections comes out at -1.307 eV/atom.

a = 7.5995 Å, b = 7.5995 Å, c = 7.7004 Å
α = 99.44°, β = 99.44°, γ = 119.95°
Sites, in units of the cell vectors:
Na (0.1655, 0.8345, 0.0000)
Na (0.8345, 0.1655, 0.0000)
Tb (0.0000, 0.0000, 0.5000)
Tb (0.3300, 0.6700, 0.5000)
Tb (0.6700, 0.3300, 0.5000)
Er (0.5000, 0.5000, 0.0000)
Te (0.0888, 0.4169, 0.7503)
Te (0.2578, 0.2578, 0.2543)
Te (0.4169, 0.0888, 0.7503)
Te (0.5831, 0.9112, 0.2497)
Te (0.7422, 0.7422, 0.7457)
Te (0.9112, 0.5831, 0.2497)

---

(9)
NaTbEr2Te4 after structural relaxation, computed with GGA-PBE.

Computed properties:
The value obtained for the magnetic moment is 0.00 μB/cell. The density is 7.19 Mg/m³. The formation energy without anion corrections comes out at -1.283 eV/atom.

a = 7.6040 Å, b = 4.3307 Å, c = 7.6079 Å
α = 90.00°, β = 108.86°, γ = 90.00°
Sites, in units of the cell vectors:
Na (0.0000, 0.0000, 0.0000)
Tb (0.0000, 0.5000, 0.5000)
Er (0.5000, 0.0000, 0.5000)
Er (0.5000, 0.5000, 0.0000)
Te (0.2541, 0.0000, 0.7521)
Te (0.2563, 0.5000, 0.2533)
Te (0.7437, 0.5000, 0.7467)
Te (0.7459, 0.0000, 0.2479)

---

(10)
Na3Tb2ErTe6 after structural relaxation, computed with GGA-PBE.

Computed properties:
The value obtained for the magnetic moment is 0.00 μB/cell. The density is 5.69 Mg/m³. The formation energy without anion corrections comes out at -1.315 eV/atom.

a = 7.6660 Å, b = 7.6660 Å, c = 7.9915 Å
α = 99.20°, β = 99.20°, γ = 120.00°
Sites, in units of the cell vectors:
Na (0.0000, 0.0000, 0.0000)
Na (0.3320, 0.6680, 0.0000)
Na (0.6680, 0.3320, 0.0000)
Tb (0.1664, 0.8336, 0.5000)
Tb (0.8336, 0.1664, 0.5000)
Er (0.5000, 0.5000, 0.5000)
Te (0.0923, 0.4228, 0.2682)
Te (0.2471, 0.2471, 0.7321)
Te (0.4228, 0.0923, 0.2682)
Te (0.5772, 0.9077, 0.7318)
Te (0.7529, 0.7529, 0.2679)
Te (0.9077, 0.5772, 0.7318)

---

(11)
NaTb2ErTe4 after structural relaxation, computed with GGA-PBE.

Computed properties:
The value obtained for the magnetic moment is 0.00 μB/cell. The density is 7.08 Mg/m³. The formation energy without anion corrections comes out at -1.298 eV/atom.

a = 7.6133 Å, b = 4.3471 Å, c = 7.6268 Å
α = 90.00°, β = 108.86°, γ = 90.00°
Sites, in units of the cell vectors:
Na (0.0000, 0.0000, 0.0000)
Tb (0.0000, 0.5000, 0.5000)
Tb (0.5000, 0.0000, 0.5000)
Er (0.5000, 0.5000, 0.0000)
Te (0.2524, 0.0000, 0.7538)
Te (0.2532, 0.5000, 0.2500)
Te (0.7468, 0.5000, 0.7500)
Te (0.7476, 0.0000, 0.2462)

---

(12)
NaEr2Tc after structural relaxation, computed with GGA-PBE.

Computed properties:
The calculation puts the energy above the most stable polymorph in this dataset at 0.00 eV/f.u. The value obtained for the magnetic moment is 0.00 μB/cell. The density is 7.05 Mg/m³. As for the energy of formation from the pure elements: -0.11 eV per formula unit.

a = 3.4389 Å, b = 3.4389 Å, c = 9.0741 Å
α = 90.00°, β = 90.00°, γ = 90.00°
Sites, in units of the cell vectors:
Na (0.0000, 0.0000, 0.0000)
Er (0.5000, 0.5000, 0.3233)
Er (0.5000, 0.5000, 0.6767)
Tc (0.0000, 0.0000, 0.5000)

---

(13)
NaEr2Tc after structural relaxation, computed with GGA-PBE.

Computed properties:
The calculation puts the energy above the most stable polymorph in this dataset at 0.95 eV/f.u. The value obtained for the magnetic moment is 0.00 μB/cell. The density is 6.67 Mg/m³. As for the energy of formation from the pure elements: 0.84 eV per formula unit.

a = 11.1704 Å, b = 11.1704 Å, c = 11.1704 Å
α = 17.77°, β = 17.77°, γ = 17.77°
Sites, in units of the cell vectors:
Na (0.0000, 0.0000, 0.0000)
Er (0.1071, 0.1071, 0.1071)
Er (0.8929, 0.8929, 0.8929)
Tc (0.5000, 0.5000, 0.5000)

---

(14)
NaEr2Te after structural relaxation, computed with GGA-PBE.

Computed properties:
The value obtained for the magnetic moment is 0.00 μB/cell. The density is 5.65 Mg/m³. The formation energy without anion corrections comes out at -0.244 eV/atom.

a = 11.3217 Å, b = 11.3217 Å, c = 11.3217 Å
α = 19.58°, β = 19.58°, γ = 19.58°
Sites, in units of the cell vectors:
Na (0.0000, 0.0000, 0.0000)
Er (0.1057, 0.1057, 0.1057)
Er (0.8943, 0.8943, 0.8943)
Te (0.5000, 0.5000, 0.5000)

---

(15)
NaEr3Te4 after structural relaxation, computed with GGA-PBE.

Computed properties:
The calculation puts the energy above the most stable polymorph in this dataset at 1.19 eV/f.u. The value obtained for the magnetic moment is 0.03 μB/cell. The density is 6.33 Mg/m³. The formation energy without anion corrections comes out at -1.100 eV/atom.

a = 6.1198 Å, b = 9.7285 Å, c = 9.1182 Å
α = 90.00°, β = 90.00°, γ = 90.00°
Sites, in units of the cell vectors:
Na (0.2500, 0.2500, 0.0788)
Na (0.7500, 0.7500, 0.9212)
Er (0.2500, 0.5548, 0.6590)
Er (0.2500, 0.7500, 0.2717)
Er (0.2500, 0.9452, 0.6590)
Er (0.7500, 0.0548, 0.3410)
Er (0.7500, 0.2500, 0.7283)
Er (0.7500, 0.4452, 0.3410)
Te (0.2500, 0.0492, 0.3457)
Te (0.2500, 0.2500, 0.7457)
Te (0.2500, 0.4508, 0.3457)
Te (0.2500, 0.7500, 0.9228)
Te (0.7500, 0.2500, 0.0772)
Te (0.7500, 0.5492, 0.6543)
Te (0.7500, 0.7500, 0.2543)
Te (0.7500, 0.9508, 0.6543)

---

(16)
NaEr6Te8 after structural relaxation, computed with GGA-PBE.

Computed properties:
The calculation puts the energy above the most stable polymorph in this dataset at 0.00 eV/f.u. The value obtained for the magnetic moment is 0.00 μB/cell. The density is 7.47 Mg/m³. The formation energy without anion corrections comes out at -1.276 eV/atom.

a = 8.6342 Å, b = 8.6342 Å, c = 8.6342 Å
α = 60.00°, β = 60.00°, γ = 60.00°
Sites, in units of the cell vectors:
Na (0.0000, 0.0000, 0.0000)
Er (0.0000, 0.0000, 0.5000)
Er (0.0000, 0.5000, 0.0000)
Er (0.0000, 0.5000, 0.5000)
Er (0.5000, 0.0000, 0.0000)
Er (0.5000, 0.0000, 0.5000)
Er (0.5000, 0.5000, 0.0000)
Te (0.2500, 0.2500, 0.2500)
Te (0.2577, 0.2577, 0.7423)
Te (0.2577, 0.7423, 0.2577)
Te (0.2577, 0.7423, 0.7423)
Te (0.7423, 0.2577, 0.2577)
Te (0.7423, 0.2577, 0.7423)
Te (0.7423, 0.7423, 0.2577)
Te (0.7500, 0.7500, 0.7500)

---

(17)
NaEr6Te8 after structural relaxation, computed with GGA-PBE.

Computed properties:
The calculation puts the energy above the most stable polymorph in this dataset at 0.47 eV/f.u. The value obtained for the magnetic moment is 0.06 μB/cell. The density is 6.73 Mg/m³. The formation energy without anion corrections comes out at -1.245 eV/atom.

a = 11.4478 Å, b = 11.4478 Å, c = 4.4515 Å
α = 90.00°, β = 90.00°, γ = 120.00°
Sites, in units of the cell vectors:
Na (0.0000, 0.0000, 0.0000)
Er (0.1352, 0.4874, 0.2497)
Er (0.3522, 0.8648, 0.2497)
Er (0.4874, 0.3522, 0.7503)
Er (0.5126, 0.6478, 0.2497)
Er (0.6478, 0.1352, 0.7503)
Er (0.8648, 0.5126, 0.7503)
Te (0.0422, 0.6986, 0.2501)
Te (0.3014, 0.3437, 0.2501)
Te (0.3333, 0.6667, 0.7496)
Te (0.3437, 0.0422, 0.7499)
Te (0.6563, 0.9578, 0.2501)
Te (0.6667, 0.3333, 0.2504)
Te (0.6986, 0.6563, 0.7499)
Te (0.9578, 0.3014, 0.7499)

---

(18)
NaEr5Te8 after structural relaxation, computed with GGA-PBE.

Computed properties:
The value obtained for the magnetic moment is 0.00 μB/cell. The density is 6.00 Mg/m³. The formation energy without anion corrections comes out at -1.279 eV/atom.

a = 9.0285 Å, b = 9.0285 Å, c = 9.0285 Å
α = 60.00°, β = 60.00°, γ = 60.00°
Sites, in units of the cell vectors:
Na (0.0000, 0.0000, 0.0000)
Er (0.3695, 0.3695, 0.3695)
Er (0.3695, 0.3695, 0.8915)
Er (0.3695, 0.8915, 0.3695)
Er (0.7500, 0.7500, 0.7500)
Er (0.8915, 0.3695, 0.3695)
Te (0.1338, 0.1338, 0.1338)
Te (0.1338, 0.1338, 0.5985)
Te (0.1338, 0.5985, 0.1338)
Te (0.1505, 0.6165, 0.6165)
Te (0.5985, 0.1338, 0.1338)
Te (0.6165, 0.1505, 0.6165)
Te (0.6165, 0.6165, 0.1505)
Te (0.6165, 0.6165, 0.6165)

---

(19)
NaEr3Te4 after structural relaxation, computed with GGA-PBE.

Computed properties:
The calculation puts the energy above the most stable polymorph in this dataset at 0.00 eV/f.u. The value obtained for the magnetic moment is 0.00 μB/cell. The density is 7.39 Mg/m³. The formation energy without anion corrections comes out at -1.249 eV/atom.

a = 7.5404 Å, b = 7.5404 Å, c = 7.5404 Å
α = 131.91°, β = 131.91°, γ = 70.37°
Sites, in units of the cell vectors:
Na (0.0000, 0.0000, 0.0000)
Er (0.2500, 0.7500, 0.5000)
Er (0.5000, 0.5000, 0.0000)
Er (0.7500, 0.2500, 0.5000)
Te (0.0000, 0.5000, 0.5000)
Te (0.2505, 0.2505, 0.0000)
Te (0.5000, 0.0000, 0.5000)
Te (0.7495, 0.7495, 0.0000)

---

(20)
NaErTe after structural relaxation, computed with GGA-PBE.

Computed properties:
The value obtained for the magnetic moment is 0.00 μB/cell. The density is 5.59 Mg/m³. The formation energy without anion corrections comes out at -0.593 eV/atom.

a = 11.4366 Å, b = 4.2477 Å, c = 7.7680 Å
α = 90.00°, β = 90.00°, γ = 90.00°
Sites, in units of the cell vectors:
Na (0.0906, 0.2500, 0.1179)
Na (0.4094, 0.7500, 0.6179)
Na (0.5906, 0.2500, 0.3821)
Na (0.9094, 0.7500, 0.8821)
Er (0.0961, 0.2500, 0.6150)
Er (0.4039, 0.7500, 0.1150)
Er (0.5961, 0.2500, 0.8850)
Er (0.9039, 0.7500, 0.3850)
Te (0.1958, 0.7500, 0.3755)
Te (0.3042, 0.2500, 0.8755)
Te (0.6958, 0.7500, 0.1245)
Te (0.8042, 0.2500, 0.6245)

---

(21)
Na3Er4Te8 after structural relaxation, computed with GGA-PBE.

Computed properties:
The value obtained for the magnetic moment is 0.00 μB/cell. The density is 6.07 Mg/m³. The formation energy without anion corrections comes out at -1.166 eV/atom.

a = 8.7757 Å, b = 8.7757 Å, c = 8.6620 Å
α = 119.08°, β = 119.08°, γ = 90.81°
Sites, in units of the cell vectors:
Na (0.0000, 0.0000, 0.0000)
Na (0.0000, 0.5000, 0.0000)
Na (0.5000, 0.0000, 0.0000)
Er (0.0000, 0.5000, 0.5000)
Er (0.5000, 0.0000, 0.5000)
Er (0.5000, 0.5000, 0.0000)
Er (0.5000, 0.5000, 0.5000)
Te (0.2511, 0.2511, 0.5084)
Te (0.2538, 0.7462, 0.5000)
Te (0.2550, 0.7450, 0.0000)
Te (0.2645, 0.2645, 0.0163)
Te (0.7355, 0.7355, 0.9837)
Te (0.7450, 0.2550, 0.0000)
Te (0.7462, 0.2538, 0.5000)
Te (0.7489, 0.7489, 0.4916)

---

(22)
NaEr2ThTe4 after structural relaxation, computed with GGA-PBE.

Computed properties:
The value obtained for the magnetic moment is 0.00 μB/cell. The density is 7.57 Mg/m³. The formation energy without anion corrections comes out at -1.183 eV/atom.

a = 7.5918 Å, b = 4.3215 Å, c = 7.7455 Å
α = 90.00°, β = 108.35°, γ = 90.00°
Sites, in units of the cell vectors:
Na (0.0000, 0.0000, 0.0000)
Er (0.5000, 0.0000, 0.5000)
Er (0.5000, 0.5000, 0.0000)
Th (0.0000, 0.5000, 0.5000)
Te (0.2602, 0.0000, 0.7592)
Te (0.2603, 0.5000, 0.2515)
Te (0.7398, 0.0000, 0.2408)
Te (0.7397, 0.5000, 0.7485)